No. 1
Below is a geometry-optimized BaNaBiPt structure, with properties calculated at the PBE-GGA level.

a b c (Å): 5.3318 5.3318 5.3318
angles (deg): 60.00 60.00 60.00
Element x y z (fractional)
Ba (0.0000, 0.0000, 0.0000)
Na (0.2500, 0.2500, 0.2500)
Bi (0.7500, 0.7500, 0.7500)
Pt (0.5000, 0.5000, 0.5000)

E (eV/atom): -3.64
Spin magnetization (μB/cell): 0.001
V (Å³ per cell): 107.18

***

No. 2
Below is a geometry-optimized Sm3In structure, with properties calculated at the PBE-GGA level.

a b c (Å): 4.9273 4.9273 4.9273
angles (deg): 90.00 90.00 90.00
Element x y z (fractional)
Sm (0.0000, 0.0000, 0.5000)
Sm (0.0000, 0.5000, 0.0000)
Sm (0.5000, 0.0000, 0.0000)
In (0.5000, 0.5000, 0.5000)

E (eV/atom): -4.50
Spin magnetization (μB/cell): 0.048
V (Å³ per cell): 119.63

***

No. 3
Below is a geometry-optimized HfAgAsO structure, with properties calculated at the PBE-GGA level.

a b c (Å): 4.0353 6.0238 5.6248
angles (deg): 90.00 90.00 90.00
Element x y z (fractional)
Hf (0.0000, 0.1858, 0.0000)
Hf (0.0000, 0.8142, 0.5000)
Ag (0.5000, 0.4669, 0.6934)
Ag (0.5000, 0.5331, 0.1934)
As (0.0000, 0.2737, 0.4973)
As (0.0000, 0.7263, 0.9973)
O (0.5000, 0.1461, 0.0246)
O (0.5000, 0.8539, 0.5246)

E (eV/atom): -6.73
Spin magnetization (μB/cell): 0.002
V (Å³ per cell): 136.73

***

No. 4
Below is a geometry-optimized MgZrCoBi structure, with properties calculated at the PBE-GGA level.

a b c (Å): 4.8146 4.8146 4.8146
angles (deg): 60.00 60.00 60.00
Element x y z (fractional)
Mg (0.0000, 0.0000, 0.0000)
Zr (0.2500, 0.2500, 0.2500)
Co (0.7500, 0.7500, 0.7500)
Bi (0.5000, 0.5000, 0.5000)

E (eV/atom): -5.01
Spin magnetization (μB/cell): 1.611
V (Å³ per cell): 78.92